# 1
# La4Dy3Ho2

La4Dy3Ho2 after structural relaxation (GGA-PBE, Alexandria).

Output
Density = 7.28 Mg/m³
M_tot = 0.0 μB/cell
Calculated formation energy = 84 meV/atom
ΔE to the lowest computed polymorph = 53 meV/atom
Space group = C2/m (12)
Electronic total energy = -41.9 eV per cell
Calculated volume = 313.2 Å³/cell

Lattice parameters (Å, degrees): 6.7678 6.7678 14.5523 115.08 115.08 31.56
Sites, in units of the cell vectors:
1 La 0.2188 0.2188 0.1062
2 La 0.2753 0.2753 0.6280
3 La 0.7247 0.7247 0.3720
4 La 0.7812 0.7812 0.8938
5 Dy 0.4942 0.4942 0.1122
6 Dy 0.5000 0.5000 0.5000
7 Dy 0.5058 0.5058 0.8878
8 Ho 0.0452 0.0452 0.7089
9 Ho 0.9548 0.9548 0.2911

***

# 2
# La2Dy2Ho

La2Dy2Ho after structural relaxation (GGA-PBE, Alexandria).

Output
Density = 7.27 Mg/m³
M_tot = 0.0 μB/cell
Calculated formation energy = 239 meV/atom
ΔE to the lowest computed polymorph = 0 meV/atom
Space group = C2/c (15)
Electronic total energy = -44.9 eV per cell
Calculated volume = 350.7 Å³/cell

Lattice parameters (Å, degrees): 6.5542 6.5542 8.9099 105.20 105.20 95.63
Sites, in units of the cell vectors:
1 La 0.0744 0.2467 0.1394
2 La 0.2467 0.0744 0.6394
3 La 0.7533 0.9256 0.3606
4 La 0.9256 0.7533 0.8606
5 Dy 0.0000 0.5000 0.5000
6 Dy 0.5000 0.0000 0.0000
7 Dy 0.5000 0.5000 0.0000
8 Dy 0.5000 0.5000 0.5000
9 Ho 0.2076 0.7924 0.2500
10 Ho 0.7924 0.2076 0.7500

***

# 3
# LaDyHo

LaDyHo after structural relaxation (GGA-PBE, Alexandria).

Output
Density = 7.65 Mg/m³
M_tot = 0.0 μB/cell
Calculated formation energy = 172 meV/atom
ΔE to the lowest computed polymorph = 151 meV/atom
Space group = Pmma (51)
Electronic total energy = -27.2 eV per cell
Calculated volume = 202.4 Å³/cell

Lattice parameters (Å, degrees): 6.4760 3.5280 8.8582 90.00 90.00 90.00
Sites, in units of the cell vectors:
1 La 0.2500 0.0000 0.1521
2 La 0.7500 0.0000 0.8479
3 Dy 0.2500 0.5000 0.7987
4 Dy 0.7500 0.5000 0.2013
5 Ho 0.0000 0.0000 0.5000
6 Ho 0.5000 0.0000 0.5000

***

# 4
# LaDy3Ho7

LaDy3Ho7 after structural relaxation (GGA-PBE, Alexandria).

Output
Density = 8.26 Mg/m³
M_tot = 0.0 μB/cell
Calculated formation energy = 147 meV/atom
ΔE to the lowest computed polymorph = 0 meV/atom
Space group = P2/m (10)
Electronic total energy = -49.2 eV per cell
Calculated volume = 358.0 Å³/cell

Lattice parameters (Å, degrees): 6.9331 5.5404 9.8623 90.00 109.07 90.00
Sites, in units of the cell vectors:
1 La 0.0000 0.0000 0.0000
2 Dy 0.2765 0.5000 0.4949
3 Dy 0.5000 0.0000 0.0000
4 Dy 0.7235 0.5000 0.5051
5 Ho 0.0000 0.0000 0.5000
6 Ho 0.1478 0.5000 0.7891
7 Ho 0.3262 0.5000 0.1425
8 Ho 0.4283 0.0000 0.3319
9 Ho 0.5717 0.0000 0.6681
10 Ho 0.6738 0.5000 0.8575
11 Ho 0.8522 0.5000 0.2109

***

# 5
# LaDy6Ho4

LaDy6Ho4 after structural relaxation (GGA-PBE, Alexandria).

Output
Density = 8.32 Mg/m³
M_tot = 0.0 μB/cell
Calculated formation energy = 125 meV/atom
ΔE to the lowest computed polymorph = 0 meV/atom
Space group = Cmcm (63)
Electronic total energy = -99.0 eV per cell
Calculated volume = 708.0 Å³/cell

Lattice parameters (Å, degrees): 5.5971 5.5971 25.6782 90.00 90.00 118.34
Sites, in units of the cell vectors:
1 La 0.1927 0.8073 0.7500
2 La 0.8073 0.1927 0.2500
3 Dy 0.1366 0.8634 0.1797
4 Dy 0.1366 0.8634 0.3203
5 Dy 0.1938 0.8062 0.6000
6 Dy 0.1938 0.8062 0.9000
7 Dy 0.4719 0.5281 0.2500
8 Dy 0.5000 0.5000 0.0000
9 Dy 0.5000 0.5000 0.5000
10 Dy 0.5281 0.4719 0.7500
11 Dy 0.8062 0.1938 0.1000
12 Dy 0.8062 0.1938 0.4000
13 Dy 0.8634 0.1366 0.6797
14 Dy 0.8634 0.1366 0.8203
15 Ho 0.1555 0.8445 0.0418
16 Ho 0.1555 0.8445 0.4582
17 Ho 0.4655 0.5345 0.1216
18 Ho 0.4655 0.5345 0.3784
19 Ho 0.5345 0.4655 0.6216
20 Ho 0.5345 0.4655 0.8784
21 Ho 0.8445 0.1555 0.5418
22 Ho 0.8445 0.1555 0.9582

***

# 6
# La5DyHo4

La5DyHo4 after structural relaxation (GGA-PBE, Alexandria).

Output
Density = 7.39 Mg/m³
M_tot = 0.0 μB/cell
Calculated formation energy = 25 meV/atom
Space group = P4/mmm (123)
Electronic total energy = -47.3 eV per cell
Calculated volume = 341.0 Å³/cell

Lattice parameters (Å, degrees): 3.6939 3.6939 24.9880 90.00 90.00 90.00
Sites, in units of the cell vectors:
1 La 0.0000 0.0000 0.0000
2 La 0.0000 0.0000 0.1998
3 La 0.0000 0.0000 0.3996
4 La 0.0000 0.0000 0.6004
5 La 0.0000 0.0000 0.8002
6 Dy 0.5000 0.5000 0.5000
7 Ho 0.5000 0.5000 0.0999
8 Ho 0.5000 0.5000 0.2996
9 Ho 0.5000 0.5000 0.7004
10 Ho 0.5000 0.5000 0.9001